No. 1
BeNiW | PBE | optimized geometry

a = 3.9137 Å, b = 3.9137 Å, c = 3.9137 Å
α = 60.00°, β = 60.00°, γ = 60.00°
Element x y z (fractional)
Be: 0.0000 0.0000 0.0000
Ni: 0.5000 0.5000 0.5000
W: 0.2500 0.2500 0.2500

Values from the calculation:
Space-group type: F-43m
Total magnetization in μB/f.u.: 0.00
Calculated total energy in eV per atom: -6.588


No. 2
Tm3Lu3Bi2Os | PBE | optimized geometry

a = 8.1466 Å, b = 8.1466 Å, c = 4.2042 Å
α = 90.00°, β = 90.00°, γ = 120.00°
Element x y z (fractional)
Tm: 0.0000 0.6202 0.0000
Tm: 0.3798 0.3798 0.0000
Tm: 0.6202 0.0000 0.0000
Lu: 0.0000 0.2331 0.5000
Lu: 0.2331 0.0000 0.5000
Lu: 0.7669 0.7669 0.5000
Bi: 0.3333 0.6667 0.5000
Bi: 0.6667 0.3333 0.5000
Os: 0.0000 0.0000 0.0000

Values from the calculation:
Space-group type: P-62m
Total magnetization in μB/f.u.: 0.03
Calculated total energy in eV per atom: -5.711


No. 3
K2RbGdP2O8 | PBE | optimized geometry

a = 5.7016 Å, b = 5.7016 Å, c = 7.5185 Å
α = 90.00°, β = 90.00°, γ = 120.00°
Element x y z (fractional)
K: 0.3333 0.6667 0.2093
K: 0.6667 0.3333 0.7907
Rb: 0.0000 0.0000 0.5000
Gd: 0.0000 0.0000 0.0000
P: 0.3333 0.6667 0.7480
P: 0.6667 0.3333 0.2520
O: 0.1862 0.3723 0.8258
O: 0.1862 0.8138 0.8258
O: 0.3333 0.6667 0.5471
O: 0.3723 0.1862 0.1742
O: 0.6277 0.8138 0.8258
O: 0.6667 0.3333 0.4529
O: 0.8138 0.1862 0.1742
O: 0.8138 0.6277 0.1742

Values from the calculation:
Space-group type: P-3m1
Total magnetization in μB/f.u.: 0.01
Calculated total energy in eV per atom: -6.734


No. 4
NpSnN | PBE | optimized geometry

a = 3.8844 Å, b = 3.8844 Å, c = 7.8012 Å
α = 90.00°, β = 90.00°, γ = 90.00°
Element x y z (fractional)
Np: 0.2500 0.2500 0.1400
Np: 0.7500 0.7500 0.8600
Sn: 0.2500 0.2500 0.5910
Sn: 0.7500 0.7500 0.4090
N: 0.2500 0.7500 0.0000
N: 0.7500 0.2500 0.0000

Values from the calculation:
Space-group type: P4/nmm
Total magnetization in μB/f.u.: 3.08
Calculated total energy in eV per atom: -9.198


No. 5
ZrTe2 | PBE | optimized geometry

a = 5.8996 Å, b = 7.3715 Å, c = 7.5632 Å
α = 90.00°, β = 93.60°, γ = 90.00°
Element x y z (fractional)
Zr: 0.1407 0.0420 0.3101
Zr: 0.1407 0.4580 0.8101
Zr: 0.8593 0.5420 0.1899
Zr: 0.8593 0.9580 0.6899
Te: 0.1570 0.6906 0.4901
Te: 0.1570 0.8094 0.9901
Te: 0.3539 0.1278 0.6689
Te: 0.3539 0.3722 0.1689
Te: 0.6461 0.6278 0.8311
Te: 0.6461 0.8722 0.3311
Te: 0.8430 0.1906 0.0099
Te: 0.8430 0.3094 0.5099

Values from the calculation:
Space-group type: P2_1/c
Total magnetization in μB/f.u.: 0.00
Calculated total energy in eV per atom: -5.739


No. 6
GaFeAs2 | PBE | optimized geometry

a = 4.5662 Å, b = 4.5662 Å, c = 4.5662 Å
α = 60.00°, β = 60.00°, γ = 60.00°
Element x y z (fractional)
Ga: 0.0000 0.0000 0.0000
Fe: 0.2500 0.2500 0.2500
As: 0.5000 0.5000 0.5000
As: 0.7500 0.7500 0.7500

Values from the calculation:
Space-group type: F-43m
Total magnetization in μB/f.u.: 2.34
Calculated total energy in eV per atom: -4.712


No. 7
Gd3Mg2CdGa2Pd | PBE | optimized geometry

a = 4.3599 Å, b = 7.3461 Å, c = 7.3461 Å
α = 119.73°, β = 90.00°, γ = 90.00°
Element x y z (fractional)
Gd: 0.0000 0.0000 0.0000
Gd: 0.0000 0.4180 0.8293
Gd: 0.0000 0.8293 0.4180
Mg: 0.5000 0.1799 0.4177
Mg: 0.5000 0.4177 0.1799
Cd: 0.5000 0.6624 0.6624
Ga: 0.5000 0.0887 0.7506
Ga: 0.5000 0.7506 0.0887
Pd: 0.0000 0.4058 0.4058

Values from the calculation:
Space-group type: Amm2
Total magnetization in μB/f.u.: 0.03
Calculated total energy in eV per atom: -3.829


No. 8
LuZrCuSb | PBE | optimized geometry

a = 4.9260 Å, b = 4.9260 Å, c = 4.9260 Å
α = 60.00°, β = 60.00°, γ = 60.00°
Element x y z (fractional)
Lu: 0.0000 0.0000 0.0000
Zr: 0.2500 0.2500 0.2500
Cu: 0.7500 0.7500 0.7500
Sb: 0.5000 0.5000 0.5000

Values from the calculation:
Space-group type: F-43m
Total magnetization in μB/f.u.: 0.02
Calculated total energy in eV per atom: -5.120